Record 1
Here is a relaxed Er2ZrTl crystal from Alexandria via LeMat-Bulk. Energies are from PBE.

The structure in CIF format:
```
data_Er2ZrTl
_cell_length_a 4.7028
_cell_length_b 4.7028
_cell_length_c 4.6461
_cell_angle_alpha 90.00
_cell_angle_beta 90.00
_cell_angle_gamma 90.00
_symmetry_space_group_name_H-M 'P 4/m m m'
_symmetry_Int_Tables_number 123
_symmetry_space_group_name_Hall '-P 4 2'
loop_
_atom_site_label
_atom_site_type_symbol
_atom_site_fract_x
_atom_site_fract_y
_atom_site_fract_z
Er1 Er 0.0000 0.5000 0.0000
Zr1 Zr 0.0000 0.0000 0.5000
Tl1 Tl 0.5000 0.5000 0.5000
```

energy relative to the lowest polymorph listed for this composition: 42 meV per atom

Record 2
Here is a relaxed Pr2Zn3Pt4 crystal from Alexandria via LeMat-Bulk. Energies are from PBE.

The structure in CIF format:
```
data_Pr2Zn3Pt4
_cell_length_a 5.6935
_cell_length_b 15.6735
_cell_length_c 7.6483
_cell_angle_alpha 90.00
_cell_angle_beta 90.00
_cell_angle_gamma 90.00
_symmetry_space_group_name_H-M 'C m c e'
_symmetry_Int_Tables_number 64
_symmetry_space_group_name_Hall '-C 2ac 2'
loop_
_atom_site_label
_atom_site_type_symbol
_atom_site_fract_x
_atom_site_fract_y
_atom_site_fract_z
Pr1 Pr 0.0000 0.1126 0.0847
Zn1 Zn 0.0000 0.0000 0.5000
Zn2 Zn 0.2500 0.2269 0.7500
Pt1 Pt 0.0000 0.1785 0.4757
Pt2 Pt 0.2500 0.0599 0.7500
```

electronic total energy: -180.4 eV per cell

Record 3
Here is a relaxed SmDy6Y2Th3 crystal from Alexandria via LeMat-Bulk. Energies are from PBE.

The structure in CIF format:
```
data_SmDy6Y2Th3
_cell_length_a 6.1883
_cell_length_b 10.7166
_cell_length_c 11.7600
_cell_angle_alpha 90.00
_cell_angle_beta 100.13
_cell_angle_gamma 90.00
_symmetry_space_group_name_H-M 'C 1 2/m 1'
_symmetry_Int_Tables_number 12
loop_
_symmetry_equiv_pos_as_xyz
'x,y,z'
'-x,-y,-z'
'-x,y,-z'
'x,-y,z'
'x+1/2,y+1/2,z'
'-x+1/2,-y+1/2,-z'
'-x+1/2,y+1/2,-z'
'x+1/2,-y+1/2,z'
loop_
_atom_site_label
_atom_site_type_symbol
_atom_site_fract_x
_atom_site_fract_y
_atom_site_fract_z
Sm1 Sm 0.0000 0.0000 0.0000
Dy1 Dy 0.2484 0.0000 0.7449
Dy2 Dy 0.2486 0.3334 0.7450
Y1 Y 0.0000 0.3332 0.0000
Th1 Th 0.0000 0.1665 0.5000
Th2 Th 0.0000 0.5000 0.5000
```

electronic total energy: -134.5 eV per cell

Record 4
Here is a relaxed TbNbPt crystal from Alexandria via LeMat-Bulk. Energies are from PBE.

The structure in CIF format:
```
data_TbNbPt
_cell_length_a 5.4045
_cell_length_b 7.7348
_cell_length_c 11.9686
_cell_angle_alpha 90.00
_cell_angle_beta 90.00
_cell_angle_gamma 90.00
_symmetry_space_group_name_H-M 'F m m m'
_symmetry_Int_Tables_number 69
_symmetry_space_group_name_Hall '-F 2 2'
loop_
_atom_site_label
_atom_site_type_symbol
_atom_site_fract_x
_atom_site_fract_y
_atom_site_fract_z
Tb1 Tb 0.0000 0.1789 0.0000
Nb1 Nb 0.2500 0.2500 0.2500
Pt1 Pt 0.0000 0.0000 0.3799
```

electronic total energy: -170.3 eV per cell

Record 5
Here is a relaxed PrEr2MgAu4 crystal from Alexandria via LeMat-Bulk. Energies are from PBE.

The structure in CIF format:
```
data_PrEr2MgAu4
_cell_length_a 4.9739
_cell_length_b 4.9739
_cell_length_c 25.5316
_cell_angle_alpha 90.00
_cell_angle_beta 90.00
_cell_angle_gamma 120.00
_symmetry_space_group_name_H-M 'R -3 m'
_symmetry_Int_Tables_number 166
_symmetry_space_group_name_Hall '-R 3 2"'
loop_
_atom_site_label
_atom_site_type_symbol
_atom_site_fract_x
_atom_site_fract_y
_atom_site_fract_z
Pr1 Pr 0.0000 0.0000 0.0000
Er1 Er 0.0000 0.0000 0.2412
Mg1 Mg 0.0000 0.0000 0.5000
Au1 Au 0.0000 0.0000 0.1238
Au2 Au 0.0000 0.0000 0.3885
```

electronic total energy: -104.5 eV per cell

Record 6
Here is a relaxed NaCa3Rh crystal from Alexandria via LeMat-Bulk. Energies are from PBE.

The structure in CIF format:
```
data_NaCa3Rh
_cell_length_a 14.8339
_cell_length_b 14.6745
_cell_length_c 6.4781
_cell_angle_alpha 90.00
_cell_angle_beta 107.59
_cell_angle_gamma 90.00
_symmetry_space_group_name_H-M 'C 1 2/c 1'
_symmetry_Int_Tables_number 15
loop_
_symmetry_equiv_pos_as_xyz
'x,y,z'
'-x,-y,-z'
'-x,y,-z+1/2'
'x,-y,z+1/2'
'x+1/2,y+1/2,z'
'-x+1/2,-y+1/2,-z'
'-x+1/2,y+1/2,-z+1/2'
'x+1/2,-y+1/2,z+1/2'
loop_
_atom_site_label
_atom_site_type_symbol
_atom_site_fract_x
_atom_site_fract_y
_atom_site_fract_z
Na1 Na 0.1401 0.0458 0.0503
Ca1 Ca 0.0734 0.2003 0.5484
Ca2 Ca 0.1145 0.4506 0.5800
Ca3 Ca 0.1608 0.3050 0.1191
Rh1 Rh 0.0000 0.3422 0.7500
Rh2 Rh 0.0000 0.3434 0.2500
```

energy relative to the lowest polymorph listed for this composition: 21 meV per atom

Record 7
Here is a relaxed Li7Cd2Pt crystal from Alexandria via LeMat-Bulk. Energies are from PBE.

The structure in CIF format:
```
data_Li7Cd2Pt
_cell_length_a 4.4306
_cell_length_b 4.4306
_cell_length_c 10.3683
_cell_angle_alpha 90.00
_cell_angle_beta 90.00
_cell_angle_gamma 120.00
_symmetry_space_group_name_H-M 'P 3 m 1'
_symmetry_Int_Tables_number 156
loop_
_symmetry_equiv_pos_as_xyz
'x,y,z'
'-y,x-y,z'
'-x+y,-x,z'
'-y,-x,z'
'-x+y,y,z'
'x,x-y,z'
loop_
_atom_site_label
_atom_site_type_symbol
_atom_site_fract_x
_atom_site_fract_y
_atom_site_fract_z
Li1 Li 0.0000 0.0000 0.0000
Li2 Li 0.0000 0.0000 0.2181
Li3 Li 0.0000 0.0000 0.4730
Li4 Li 0.3333 0.6667 0.0303
Li5 Li 0.3333 0.6667 0.6179
Li6 Li 0.6667 0.3333 0.4037
Li7 Li 0.6667 0.3333 0.8715
Cd1 Cd 0.0000 0.0000 0.7384
Cd2 Cd 0.3333 0.6667 0.2984
Pt1 Pt 0.6667 0.3333 0.1349
```

energy relative to the lowest polymorph listed for this composition: 0 meV per atom

Record 8
Here is a relaxed NdGeAu2 crystal from Alexandria via LeMat-Bulk. Energies are from PBE.

The structure in CIF format:
```
data_NdGeAu2
_cell_length_a 4.4986
_cell_length_b 4.5557
_cell_length_c 4.5842
_cell_angle_alpha 90.00
_cell_angle_beta 100.93
_cell_angle_gamma 90.00
_symmetry_space_group_name_H-M 'P 1 2/m 1'
_symmetry_Int_Tables_number 10
loop_
_symmetry_equiv_pos_as_xyz
'x,y,z'
'-x,-y,-z'
'-x,y,-z'
'x,-y,z'
loop_
_atom_site_label
_atom_site_type_symbol
_atom_site_fract_x
_atom_site_fract_y
_atom_site_fract_z
Nd1 Nd 0.0000 0.0000 0.0000
Ge1 Ge 0.5000 0.0000 0.5000
Au1 Au 0.2956 0.5000 0.7075
```

electronic total energy: -17.6 eV per cell

Record 9
Here is a relaxed K2InCoPt crystal from Alexandria via LeMat-Bulk. Energies are from PBE.

The structure in CIF format:
```
data_K2InCoPt
_cell_length_a 5.5811
_cell_length_b 5.5811
_cell_length_c 4.9947
_cell_angle_alpha 90.00
_cell_angle_beta 90.00
_cell_angle_gamma 90.00
_symmetry_space_group_name_H-M 'P 4/m m m'
_symmetry_Int_Tables_number 123
_symmetry_space_group_name_Hall '-P 4 2'
loop_
_atom_site_label
_atom_site_type_symbol
_atom_site_fract_x
_atom_site_fract_y
_atom_site_fract_z
K1 K 0.0000 0.5000 0.0000
In1 In 0.0000 0.0000 0.5000
Co1 Co 0.0000 0.0000 0.0000
Pt1 Pt 0.5000 0.5000 0.5000
```

electronic total energy: -14.0 eV per cell

Record 10
Here is a relaxed SnSI3 crystal from Alexandria via LeMat-Bulk. Energies are from PBE.

The structure in CIF format:
```
data_SnSI3
_cell_length_a 5.5888
_cell_length_b 5.5888
_cell_length_c 5.5888
_cell_angle_alpha 90.00
_cell_angle_beta 90.00
_cell_angle_gamma 90.00
_symmetry_space_group_name_H-M 'P m -3 m'
_symmetry_Int_Tables_number 221
_symmetry_space_group_name_Hall '-P 4 2 3'
loop_
_atom_site_label
_atom_site_type_symbol
_atom_site_fract_x
_atom_site_fract_y
_atom_site_fract_z
Sn1 Sn 0.0000 0.0000 0.0000
S1 S 0.5000 0.5000 0.5000
I1 I 0.0000 0.5000 0.5000
```

energy relative to the elements, uncorrected: 0.286 eV per atom
energy relative to the lowest polymorph listed for this composition: 0 meV per atom

Record 11
Here is a relaxed SrSbPb2 crystal from Alexandria via LeMat-Bulk. Energies are from PBE.

The structure in CIF format:
```
data_SrSbPb2
_cell_length_a 4.3840
_cell_length_b 4.3840
_cell_length_c 26.0804
_cell_angle_alpha 90.00
_cell_angle_beta 90.00
_cell_angle_gamma 120.00
_symmetry_space_group_name_H-M 'R -3 m'
_symmetry_Int_Tables_number 166
_symmetry_space_group_name_Hall '-R 3 2"'
loop_
_atom_site_label
_atom_site_type_symbol
_atom_site_fract_x
_atom_site_fract_y
_atom_site_fract_z
Sr1 Sr 0.0000 0.0000 0.0000
Sb1 Sb 0.0000 0.0000 0.5000
Pb1 Pb 0.0000 0.0000 0.2371
```

energy relative to the elements, uncorrected: -0.088 eV per atom

Record 12
Here is a relaxed NaNb3H crystal from Alexandria via LeMat-Bulk. Energies are from PBE.

The structure in CIF format:
```
data_NaNb3H
_cell_length_a 4.7157
_cell_length_b 4.7157
_cell_length_c 4.7157
_cell_angle_alpha 90.00
_cell_angle_beta 90.00
_cell_angle_gamma 90.00
_symmetry_space_group_name_H-M 'P m -3 m'
_symmetry_Int_Tables_number 221
_symmetry_space_group_name_Hall '-P 4 2 3'
loop_
_atom_site_label
_atom_site_type_symbol
_atom_site_fract_x
_atom_site_fract_y
_atom_site_fract_z
Na1 Na 0.0000 0.0000 0.0000
Nb1 Nb 0.0000 0.0000 0.5000
H1 H 0.5000 0.5000 0.5000
```

energy relative to the lowest polymorph listed for this composition: 2308 meV per atom